# 1
Tb8Ir2Pd | GGA-PBE | optimized geometry

Lattice parameters (Å, degrees): 17.506 4.907 6.911 90.00 105.87 90.00
Space group C2/m (No. 12)
Inequivalent atoms, fractional coordinates:
Tb  0.033  0.000  0.281 x4
Tb  0.095  0.500  0.964 x4
Tb  0.169  0.500  0.467 x4
Tb  0.204  0.000  0.817 x4
Ir  0.189  0.000  0.213 x4
Pd  0.000  0.500  0.500 x2

Summary:
ΔE_f: -0.51 eV per atom
Final energy: -131.11 eV per cell
DOS at the Fermi energy: 1.0047 states/eV/atom

# 2
TbIrPd | GGA-PBE | optimized geometry

Lattice parameters (Å, degrees): 3.9880 3.9880 14.5158 90.00 90.00 120.00
Space group R3m (No. 160, hexagonal axes)
Inequivalent atoms, fractional coordinates:
Tb  0.0000  0.0000  0.0000 x3
Ir  0.0000  0.0000  0.2130 x3
Pd  0.0000  0.0000  0.7956 x3

Summary:
ΔE_f: -0.04 eV per atom
Final energy: -56.42 eV per cell
DOS at the Fermi energy: 1.5475 states/eV/atom

- Number 1 is which compound?
  Tb8Ir2Pd

- Which of these has the lowest ΔE_f?
  Tb8Ir2Pd